No. 1
Below is a geometry-optimized Sc2FeTc structure, with properties calculated at the PBE level.

extended XYZ file:
```
4
Lattice="1.6934 0.0000 9.1145 -0.8467 1.4665 9.1145 -0.8467 -1.4665 9.1145" Properties=species:S:1:pos:R:3 pbc="T T T"
Sc 0.0000 0.0000 2.6078
Sc 0.0000 0.0000 24.7356
Fe 0.0000 0.0000 13.6717
Tc 0.0000 0.0000 0.0000
```

Calculated values
- E_tot: -29.71 eV per cell
- N(E_F): 0.932 states/eV per atom
- Formation energy from the elements: 0.4461 eV per atom
- Symmetry: R-3m (166)
- Total moment: 0.09 μB/atom


No. 2
Below is a geometry-optimized ScFe2Tc structure, with properties calculated at the PBE level.

extended XYZ file:
```
4
Lattice="-1.8346 2.5785 -0.1881 -1.3648 -0.6845 3.9283 3.1825 2.3753 1.5196" Properties=species:S:1:pos:R:3 pbc="T T T"
Fe -1.5997 0.9470 1.8701
Sc 0.6740 2.4769 0.6657
Fe 0.0000 0.0000 0.0000
Tc 0.9089 0.8454 2.7240
```

Calculated values
- Energy relative to the lowest polymorph listed for this composition: 0.36 eV/f.u.
- E_tot: -33.21 eV per cell
- N(E_F): 1.413 states/eV per atom
- Formation energy from the elements: 0.1028 eV per atom
- Symmetry: Pmmm (47)
- Total moment: 1.02 μB/atom


No. 3
Below is a geometry-optimized ScFe2Tc structure, with properties calculated at the PBE level.

extended XYZ file:
```
4
Lattice="-5.9141 4.1510 4.6089 -4.8264 2.4762 6.6350 -3.5731 4.9531 6.0124" Properties=species:S:1:pos:R:3 pbc="T T T"
Sc -7.1991 5.8244 8.6792
Tc -10.6233 8.5947 12.8073
Fe -3.6846 2.9810 4.4421
Fe -14.2769 11.5506 17.2121
```

Calculated values
- Energy relative to the lowest polymorph listed for this composition: 1.01 eV/f.u.
- E_tot: -32.56 eV per cell
- N(E_F): 1.141 states/eV per atom
- Formation energy from the elements: 0.2652 eV per atom
- Symmetry: R3m (160)
- Total moment: 1.05 μB/atom


No. 4
Below is a geometry-optimized ScFe2Tc structure, with properties calculated at the PBE level.

extended XYZ file:
```
4
Lattice="-3.5241 -0.0539 -3.7026 -3.9221 -2.5316 -2.0833 -3.9402 1.4052 1.1818" Properties=species:S:1:pos:R:3 pbc="T T T"
Tc -2.9124 -0.3694 -1.2808
Fe -8.4712 -0.8056 -3.3144
Sc -5.6912 -0.5887 -2.2994
Fe -3.9449 1.3984 1.1703
```

Calculated values
- Energy relative to the lowest polymorph listed for this composition: 0.13 eV/f.u.
- E_tot: -33.44 eV per cell
- N(E_F): 1.095 states/eV per atom
- Formation energy from the elements: 0.0454 eV per atom
- Symmetry: Imm2 (44)
- Total moment: 0.92 μB/atom


No. 5
Below is a geometry-optimized ScFeTc structure, with properties calculated at the PBE level.

extended XYZ file:
```
3
Lattice="-3.7801 3.4988 2.1128 -3.0069 1.6878 4.3710 1.5701 2.2261 1.2474" Properties=species:S:1:pos:R:3 pbc="T T T"
Tc -1.3866 3.2735 3.1000
Sc -3.9679 4.1880 4.7174
Fe -6.6494 5.1379 6.3976
```

Calculated values
- Energy relative to the lowest polymorph listed for this composition: 0.67 eV/f.u.
- E_tot: -25.24 eV per cell
- N(E_F): 0.829 states/eV per atom
- Formation energy from the elements: -0.0281 eV per atom
- Symmetry: I4mm (107)
- Total moment: 0.43 μB/atom


No. 6
Below is a geometry-optimized Sc4FeTc structure, with properties calculated at the PBE level.

extended XYZ file:
```
6
Lattice="0.0000 3.8821 3.8821 3.8821 0.0000 3.8821 3.8821 3.8821 0.0000" Properties=species:S:1:pos:R:3 pbc="T T T"
Sc 4.8501 4.8501 2.9141
Tc 5.8232 5.8232 5.8232
Sc 2.9141 4.8501 4.8501
Sc 2.9141 2.9141 2.9141
Fe 0.0000 0.0000 0.0000
Sc 4.8501 2.9141 4.8501
```

Calculated values
- Energy relative to the lowest polymorph listed for this composition: 5.11 eV/f.u.
- E_tot: -40.01 eV per cell
- N(E_F): 1.503 states/eV per atom
- Formation energy from the elements: 0.6902 eV per atom
- Symmetry: F-43m (216)
- Total moment: 0.36 μB/atom


No. 7
Below is a geometry-optimized ScFe8Tc3 structure, with properties calculated at the PBE level.

extended XYZ file:
```
12
Lattice="-0.1133 4.2757 -1.9397 -3.9790 -2.0216 1.4618 0.9461 3.2026 7.0042" Properties=species:S:1:pos:R:3 pbc="T T T"
Fe -3.1121 -0.1960 2.6485
Tc 0.8941 3.0266 6.6193
Tc -1.3436 2.3740 -0.3741
Fe -2.2167 1.6811 3.8352
Tc -1.0106 3.5011 2.0910
Fe -1.3745 5.6594 4.0854
Fe -1.3190 3.5656 5.0353
Fe 0.6296 4.5556 4.3194
Sc 0.5346 1.8097 3.9578
Fe -2.6870 0.0892 0.3536
Fe -1.0834 0.8347 1.9032
Fe -3.1699 1.9839 1.6596
```

Calculated values
- E_tot: -105.28 eV per cell
- N(E_F): 1.118 states/eV per atom
- Formation energy from the elements: -0.0125 eV per atom
- Symmetry: P3m1 (156)
- Total moment: 0.58 μB/atom


No. 8
Below is a geometry-optimized Sc2FeTc structure, with properties calculated at the PBE level.

extended XYZ file:
```
4
Lattice="-0.2602 0.3096 3.2784 2.6120 -1.9844 0.3947 3.7655 4.9233 -0.1661" Properties=species:S:1:pos:R:3 pbc="T T T"
Tc 2.1173 0.3934 1.7950
Fe 4.0001 2.8550 1.7120
Sc 0.0057 0.0074 -0.0003
Sc 1.8771 2.4542 -0.0828
```

Calculated values
- E_tot: -31.68 eV per cell
- N(E_F): 1.771 states/eV per atom
- Formation energy from the elements: -0.0459 eV per atom
- Symmetry: P4/mmm (123)
- Total moment: 0.61 μB/atom


No. 9
Below is a geometry-optimized ScFeTc structure, with properties calculated at the PBE level.

extended XYZ file:
```
6
Lattice="4.4076 0.0000 2.4748 1.4958 4.2263 2.4983 0.0188 0.1875 5.1289" Properties=species:S:1:pos:R:3 pbc="T T T"
Tc 2.2132 0.0938 3.8018
Fe 2.2038 0.0000 1.2374
Sc 1.4978 2.7583 5.0760
Sc 4.4245 1.6555 5.0260
Tc 2.9517 2.1132 2.4866
Fe 0.0000 0.0000 0.0000
```

Calculated values
- Energy relative to the lowest polymorph listed for this composition: 0.00 eV/f.u.
- E_tot: -51.83 eV per cell
- N(E_F): 0.934 states/eV per atom
- Formation energy from the elements: -0.2518 eV per atom
- Symmetry: Imma (74)
- Total moment: 0.55 μB/atom


No. 10
Below is a geometry-optimized Sc2FeTc structure, with properties calculated at the PBE level.

extended XYZ file:
```
4
Lattice="-1.0980 0.8569 3.8826 -3.2106 -0.8308 -0.7246 -0.6477 -5.3127 0.9893" Properties=species:S:1:pos:R:3 pbc="T T T"
Sc -3.7240 -5.7572 0.2175
Sc -1.6481 -1.4929 2.0545
Fe -2.8360 -4.0527 2.2835
Tc -2.5358 -3.1993 -0.0110
```

Calculated values
- E_tot: -31.49 eV per cell
- N(E_F): 0.976 states/eV per atom
- Formation energy from the elements: 0.0005 eV per atom
- Symmetry: Amm2 (38)
- Total moment: 0.69 μB/atom


No. 11
Below is a geometry-optimized ScFeTc2Te structure, with properties calculated at the PBE level.

extended XYZ file:
```
5
Lattice="4.4630 0.0000 0.0000 0.0000 4.7463 0.0000 0.0000 0.0000 4.4630" Properties=species:S:1:pos:R:3 pbc="T T T"
Fe 0.0000 0.0000 0.0000
Te 2.2315 2.3731 2.2315
Tc 0.0000 0.0000 2.2315
Tc 2.2315 0.0000 0.0000
Sc 0.0000 2.3731 0.0000
```

Calculated values
- E_tot: -35.87 eV per cell
- N(E_F): 1.118 states/eV per atom
- Energy relative to the elements, uncorrected: 0.5600 eV/atom
- Symmetry: P4/mmm (123)
- Total moment: 0.00 μB/atom


No. 12
Below is a geometry-optimized ScUFeTc structure, with properties calculated at the PBE level.

extended XYZ file:
```
4
Lattice="4.6064 0.0000 0.0000 2.3032 3.9893 0.0000 2.3032 1.3298 3.7611" Properties=species:S:1:pos:R:3 pbc="T T T"
Tc 0.0000 0.0000 0.0000
U 2.3032 1.3298 0.9403
Fe 4.6064 2.6595 1.8806
Sc 6.9096 3.9893 2.8208
```

Calculated values
- E_tot: -36.63 eV per cell
- N(E_F): 2.320 states/eV per atom
- Formation energy from the elements: -0.0445 eV per atom
- Symmetry: F-43m (216)
- Total moment: 0.18 μB/atom


> Look up the N(E_F) of the fourth one.

1.095 states/eV per atom


> Look up the N(E_F) of the first one.

0.932 states/eV per atom


> Number 11 is which compound?

ScFeTc2Te


> The highest N(E_F) belongs to which entry?

ScUFeTc